# Rb2AlWF6

Crystalline Rb2AlWF6 at its relaxed geometry (PBE with a Hubbard U, the Alexandria database).

```
Rb2AlWF6
1.0
-3.227 3.227 4.603
3.227 -3.227 4.603
3.227 3.227 -4.603
Rb Al W F
2 1 1 6
Direct
0.250 0.750 0.500 Rb
0.750 0.250 0.500 Rb
0.000 0.000 0.000 Al
0.500 0.500 0.000 W
0.267 0.267 0.534 F
0.267 0.733 0.000 F
0.269 0.269 0.000 F
0.731 0.731 0.000 F
0.733 0.267 0.000 F
0.733 0.733 0.466 F
```

Summary:
Crystal system = tetragonal
Raw total energy = -0.1777 Ha/atom